{
  "formula": "Zr3As",
  "functional": "PBE",
  "state": "optimized geometry",
  "cell": [[-4.145, -3.099, 2.085], [4.482, -2.769, -1.836], [0.966, 4.875, 2.536]],
  "species": ["Zr", "Zr", "Zr", "As"],
  "fractional_positions": [[0.000, 0.500, 0.500], [0.500, 0.500, 0.000], [0.500, 0.000, 0.500], [0.000, 0.000, 0.000]],
  "ef_ev_per_atom": -0.258,
  "total_energy_ev_per_atom": -7.831,
  "space_group": "No. 166"
}

=====

{
  "formula": "TlRhSCl2",
  "functional": "PBE",
  "state": "optimized geometry",
  "cell": [[-3.579, -2.585, 2.675], [3.688, -2.954, 2.080], [0.421, 2.888, 3.355]],
  "species": ["S", "Tl", "Cl", "Cl", "Rh"],
  "fractional_positions": [[0.000, 0.000, 0.500], [0.500, 0.500, 0.500], [0.500, 0.000, 0.000], [0.000, 0.500, 0.000], [0.000, 0.000, 0.000]],
  "relative_energy_ev_per_atom": 0.000,
  "total_energy_ev_per_atom": -3.900,
  "space_group": "No. 123"
}

=====

{
  "formula": "Gd3PuCo",
  "functional": "PBE",
  "state": "optimized geometry",
  "cell": [[-2.257, -4.245, -2.246], [4.229, -0.580, -3.152], [2.276, -3.130, 3.630]],
  "species": ["Gd", "Gd", "Gd", "Co", "Pu"],
  "fractional_positions": [[0.000, 0.000, 0.500], [0.000, 0.500, 0.000], [0.500, 0.000, 0.000], [0.000, 0.000, 0.000], [0.500, 0.500, 0.500]],
  "ef_ev_per_atom": 0.137,
  "total_energy_ev_per_atom": -12.600,
  "space_group": "No. 221"
}

=====

{
  "formula": "AcLa2S4",
  "functional": "PBE",
  "state": "optimized geometry",
  "cell": [[4.112, 0.000, 0.000], [-2.056, 6.933, 0.000], [0.000, 0.000, 13.755]],
  "species": ["La", "La", "La", "La", "Ac", "Ac", "S", "S", "S", "S", "S", "S", "S", "S"],
  "fractional_positions": [[0.871, 0.742, 0.568], [0.871, 0.742, 0.932], [0.129, 0.258, 0.068], [0.129, 0.258, 0.432], [0.377, 0.753, 0.250], [0.623, 0.247, 0.750], [0.969, 0.937, 0.750], [0.227, 0.453, 0.880], [0.500, 0.000, 0.500], [0.773, 0.547, 0.380], [0.500, 0.000, 0.000], [0.031, 0.063, 0.250], [0.773, 0.547, 0.120], [0.227, 0.453, 0.620]],
  "total_energy_ev_per_atom": -6.510,
  "space_group": "No. 63"
}

=====

{
  "formula": "Tb2Pm2SmY2",
  "functional": "PBE",
  "state": "optimized geometry",
  "cell": [[-1.646, 4.614, -1.386], [-2.977, -2.393, 4.920], [6.102, 3.385, 4.020]],
  "species": ["Sm", "Tb", "Tb", "Pm", "Pm", "Y", "Y"],
  "fractional_positions": [[0.000, 0.000, 0.000], [0.429, 0.858, 0.285], [0.571, 0.142, 0.715], [0.142, 0.284, 0.428], [0.858, 0.716, 0.572], [0.714, 0.429, 0.142], [0.286, 0.571, 0.858]],
  "ef_ev_per_atom": 0.015,
  "total_energy_ev_per_atom": -5.186,
  "space_group": "No. 12"
}

=====

{
  "formula": "HfNiSe2N",
  "functional": "PBE",
  "state": "optimized geometry",
  "cell": [[-5.137, -0.427, 0.852], [0.447, -5.205, 0.088], [0.651, 0.123, 3.984]],
  "species": ["Se", "Se", "Hf", "N", "Ni"],
  "fractional_positions": [[0.000, 0.500, 0.000], [0.500, 0.000, 0.000], [0.000, 0.000, 0.000], [0.000, 0.000, 0.500], [0.500, 0.500, 0.500]],
  "relative_energy_ev_per_atom": 0.149,
  "total_energy_ev_per_atom": -5.893,
  "space_group": "No. 123"
}

=====

{
  "formula": "Sr2PuUP4",
  "functional": "PBE",
  "state": "optimized geometry",
  "cell": [[-2.257, -3.269, -1.158], [0.458, -2.665, 6.630], [-5.908, 4.245, -0.466]],
  "species": ["P", "P", "P", "P", "U", "Sr", "Sr", "Pu"],
  "fractional_positions": [[0.000, 0.255, 0.790], [0.500, 0.229, 0.210], [0.000, 0.745, 0.210], [0.500, 0.771, 0.790], [0.000, 0.000, 0.000], [0.000, 0.500, 0.500], [0.500, 0.000, 0.500], [0.500, 0.500, 0.000]],
  "ef_ev_per_atom": -1.065,
  "total_energy_ev_per_atom": -7.393,
  "space_group": "No. 10"
}

=====

{
  "formula": "Li6ZnNi5",
  "functional": "PBE",
  "state": "optimized geometry",
  "cell": [[4.017, -0.578, -1.608], [-2.815, 6.137, 0.599], [-1.107, 1.602, 6.492]],
  "species": ["Zn", "Ni", "Ni", "Ni", "Ni", "Ni", "Li", "Li", "Li", "Li", "Li", "Li"],
  "fractional_positions": [[0.000, 0.000, 0.000], [0.000, 0.663, 0.337], [0.500, 0.171, 0.829], [0.000, 0.337, 0.663], [0.500, 0.500, 0.500], [0.500, 0.829, 0.171], [0.259, 0.425, 0.085], [0.230, 0.745, 0.745], [0.259, 0.085, 0.425], [0.770, 0.255, 0.255], [0.741, 0.915, 0.575], [0.741, 0.575, 0.915]],
  "ef_ev_per_atom": -0.057,
  "total_energy_ev_per_atom": -3.529,
  "space_group": "No. 12"
}

=====

{
  "formula": "Ta5TcW2",
  "functional": "PBE",
  "state": "optimized geometry",
  "cell": [[4.602, 0.000, 0.000], [0.000, 5.531, 0.000], [0.000, 0.000, 10.888]],
  "species": ["Ta", "Ta", "Ta", "Ta", "Ta", "Ta", "Ta", "Ta", "Ta", "Ta", "W", "W", "W", "W", "Tc", "Tc"],
  "fractional_positions": [[0.500, 0.162, 0.616], [0.000, 0.354, 0.758], [0.000, 0.646, 0.242], [0.000, 0.500, 0.500], [0.500, 0.662, 0.884], [0.000, 0.000, 0.000], [0.000, 0.146, 0.258], [0.500, 0.338, 0.116], [0.000, 0.854, 0.742], [0.500, 0.838, 0.384], [0.500, 0.663, 0.625], [0.500, 0.337, 0.375], [0.500, 0.837, 0.125], [0.500, 0.163, 0.875], [0.000, 0.500, 0.000], [0.000, 0.000, 0.500]],
  "ef_ev_per_atom": -0.072,
  "total_energy_ev_per_atom": -12.014,
  "space_group": "No. 55"
}

=====

{
  "formula": "SmTe2Au",
  "functional": "PBE",
  "state": "optimized geometry",
  "cell": [[4.669, 0.000, 0.000], [2.334, 4.043, 0.000], [2.334, 1.348, 8.464]],
  "species": ["Au", "Te", "Te", "Sm"],
  "fractional_positions": [[0.000, 0.000, 0.000], [0.898, 0.898, 0.306], [0.102, 0.102, 0.694], [0.500, 0.500, 0.500]],
  "total_energy_ev_per_atom": -4.385,
  "space_group": "No. 166"
}

=====

{
  "formula": "Cs2BiBr2O2",
  "functional": "PBE",
  "state": "optimized geometry",
  "cell": [[4.669, 0.000, 0.000], [0.000, 4.669, 0.000], [-2.335, -2.335, 9.261]],
  "species": ["O", "O", "Bi", "Cs", "Cs", "Br", "Br"],
  "fractional_positions": [[0.500, 0.000, 0.000], [0.000, 0.500, 0.000], [0.000, 0.000, 0.000], [0.380, 0.380, 0.761], [0.620, 0.620, 0.239], [0.162, 0.162, 0.323], [0.838, 0.838, 0.677]],
  "total_energy_ev_per_atom": -3.900,
  "space_group": "No. 139"
}

=====

{
  "formula": "BMo2Os",
  "functional": "PBE",
  "state": "optimized geometry",
  "cell": [[7.236, 0.000, 0.000], [0.000, 7.236, 0.000], [3.618, 3.618, 2.175]],
  "species": ["Mo", "Mo", "Mo", "Mo", "B", "B", "Os", "Os"],
  "fractional_positions": [[0.875, 0.773, 0.750], [0.227, 0.625, 0.250], [0.375, 0.477, 0.750], [0.523, 0.125, 0.250], [0.500, 0.500, 0.000], [0.250, 0.750, 0.500], [0.750, 0.250, 0.500], [0.000, 0.000, 0.000]],
  "ef_ev_per_atom": 0.312,
  "total_energy_ev_per_atom": -9.581,
  "space_group": "No. 122"
}

=====

{
  "formula": "K3MgI5",
  "functional": "PBE",
  "state": "optimized geometry",
  "cell": [[-8.729, -3.120, -2.710], [3.494, -8.954, -0.945], [0.706, 4.448, 9.815]],
  "species": ["I", "I", "I", "I", "I", "I", "I", "I", "I", "I", "K", "K", "K", "K", "K", "K", "Mg", "Mg"],
  "fractional_positions": [[0.000, 0.000, 0.000], [0.198, 0.007, 0.706], [0.302, 0.802, 0.294], [0.993, 0.493, 0.294], [0.493, 0.302, 0.294], [0.802, 0.993, 0.294], [0.698, 0.198, 0.706], [0.007, 0.507, 0.706], [0.500, 0.500, 0.000], [0.507, 0.698, 0.706], [0.843, 0.657, 0.000], [0.157, 0.343, 0.000], [0.343, 0.843, 0.000], [0.250, 0.250, 0.500], [0.750, 0.750, 0.500], [0.657, 0.157, 0.000], [0.250, 0.750, 0.500], [0.750, 0.250, 0.500]],
  "total_energy_ev_per_atom": -2.703,
  "space_group": "No. 140"
}

=====

{
  "formula": "RbPu3Cl10",
  "functional": "PBE",
  "state": "optimized geometry",
  "cell": [[-5.452, 7.806, 3.670], [-9.654, 1.345, -3.017], [-7.668, -1.743, 6.503]],
  "species": ["Cl", "Cl", "Cl", "Cl", "Cl", "Cl", "Cl", "Cl", "Cl", "Cl", "Cl", "Cl", "Cl", "Cl", "Cl", "Cl", "Cl", "Cl", "Cl", "Cl", "Pu", "Pu", "Pu", "Pu", "Pu", "Pu", "Rb", "Rb"],
  "fractional_positions": [[0.000, 0.000, 0.335], [0.615, 0.155, 0.615], [0.000, 0.665, 0.000], [0.665, 0.335, 0.000], [0.845, 0.385, 0.385], [0.385, 0.385, 0.385], [0.615, 0.615, 0.615], [0.385, 0.845, 0.385], [0.335, 0.000, 0.000], [0.385, 0.385, 0.845], [0.155, 0.615, 0.615], [0.000, 0.335, 0.665], [0.665, 0.000, 0.335], [0.335, 0.665, 0.000], [0.000, 0.000, 0.665], [0.615, 0.615, 0.155], [0.000, 0.665, 0.335], [0.335, 0.000, 0.665], [0.000, 0.335, 0.000], [0.665, 0.000, 0.000], [0.261, 0.739, 0.739], [0.739, 0.739, 0.261], [0.261, 0.739, 0.261], [0.261, 0.261, 0.739], [0.739, 0.261, 0.261], [0.739, 0.261, 0.739], [0.750, 0.750, 0.750], [0.250, 0.250, 0.250]],
  "total_energy_ev_per_atom": -6.352,
  "space_group": "No. 225"
}

=====

{
  "formula": "BiTe2Mo",
  "functional": "PBE",
  "state": "optimized geometry",
  "cell": [[-2.522, 6.162, -2.170], [-6.500, -2.602, 0.165], [-5.054, 3.483, 4.467]],
  "species": ["Te", "Te", "Te", "Te", "Bi", "Bi", "Mo", "Mo"],
  "fractional_positions": [[0.560, 0.125, 0.250], [0.875, 0.810, 0.750], [0.190, 0.625, 0.250], [0.375, 0.440, 0.750], [0.750, 0.250, 0.500], [0.000, 0.000, 0.000], [0.250, 0.750, 0.500], [0.500, 0.500, 0.000]],
  "total_energy_ev_per_atom": -4.738,
  "space_group": "No. 122"
}

=====

{
  "formula": "Er4PtPb",
  "functional": "PBE",
  "state": "optimized geometry",
  "cell": [[6.162, -0.301, 0.000], [-1.945, 8.251, 0.000], [-2.109, -3.975, 6.694]],
  "species": ["Pb", "Pb", "Er", "Er", "Er", "Er", "Er", "Er", "Er", "Er", "Pt", "Pt"],
  "fractional_positions": [[0.621, 0.371, 0.742], [0.379, 0.629, 0.258], [0.367, 0.941, 0.657], [0.633, 0.059, 0.343], [0.789, 0.716, 0.657], [0.041, 0.211, 0.856], [0.959, 0.789, 0.144], [0.685, 0.355, 0.144], [0.315, 0.645, 0.856], [0.211, 0.284, 0.343], [0.749, 0.999, 0.998], [0.251, 0.001, 0.002]],
  "ef_ev_per_atom": -0.606,
  "relative_energy_ev_per_atom": 0.045,
  "total_energy_ev_per_atom": -5.273,
  "space_group": "No. 15"
}

=====

{
  "formula": "NaPmPt2O8",
  "functional": "PBE",
  "state": "optimized geometry",
  "cell": [[5.837, 0.000, 0.000], [-2.919, 5.055, 0.000], [0.000, 0.000, 7.192]],
  "species": ["Pm", "O", "O", "O", "O", "O", "O", "O", "O", "Na", "Pt", "Pt"],
  "fractional_positions": [[0.000, 0.000, 0.000], [0.333, 0.667, 0.699], [0.671, 0.065, 0.871], [0.065, 0.394, 0.129], [0.329, 0.935, 0.129], [0.667, 0.333, 0.301], [0.606, 0.671, 0.129], [0.935, 0.606, 0.871], [0.394, 0.329, 0.871], [0.000, 0.000, 0.500], [0.333, 0.667, 0.956], [0.667, 0.333, 0.044]],
  "total_energy_ev_per_atom": -5.439,
  "space_group": "No. 147"
}

=====

{
  "formula": "KTeS2",
  "functional": "PBE",
  "state": "optimized geometry",
  "cell": [[6.354, 0.000, 0.000], [0.000, 6.511, 0.000], [0.000, 0.000, 13.205]],
  "species": ["S", "S", "S", "S", "S", "S", "S", "S", "K", "K", "K", "K", "Te", "Te", "Te", "Te"],
  "fractional_positions": [[0.056, 0.432, 0.874], [0.633, 0.533, 0.619], [0.056, 0.932, 0.626], [0.133, 0.967, 0.119], [0.556, 0.568, 0.126], [0.133, 0.467, 0.381], [0.633, 0.033, 0.881], [0.556, 0.068, 0.374], [0.060, 0.468, 0.127], [0.560, 0.032, 0.627], [0.560, 0.532, 0.873], [0.060, 0.968, 0.373], [0.500, 0.924, 0.127], [0.000, 0.576, 0.627], [0.500, 0.424, 0.373], [0.000, 0.076, 0.873]],
  "total_energy_ev_per_atom": -3.612,
  "space_group": "No. 33"
}

=====

{
  "formula": "AgSb2Ru",
  "functional": "PBE",
  "state": "optimized geometry",
  "cell": [[-2.586, 1.920, -0.111], [-0.323, -0.252, 3.197], [4.828, 6.562, 1.005]],
  "species": ["Ru", "Sb", "Sb", "Ag"],
  "fractional_positions": [[0.500, 0.500, 0.755], [0.000, 0.000, 0.927], [0.500, 0.500, 0.289], [0.000, 0.000, 0.529]],
  "total_energy_ev_per_atom": -4.894,
  "space_group": "No. 99"
}

=====

{
  "formula": "NdCd6Ag",
  "functional": "PBE",
  "state": "optimized geometry",
  "cell": [[4.662, 0.000, 1.427], [2.113, 4.156, 1.427], [-0.333, -0.205, 9.419]],
  "species": ["Cd", "Cd", "Cd", "Cd", "Cd", "Cd", "Nd", "Ag"],
  "fractional_positions": [[0.246, 0.246, 0.261], [0.754, 0.754, 0.739], [0.108, 0.108, 0.675], [0.368, 0.368, 0.895], [0.892, 0.892, 0.325], [0.632, 0.632, 0.105], [0.500, 0.500, 0.500], [0.000, 0.000, 0.000]],
  "ef_ev_per_atom": -0.150,
  "total_energy_ev_per_atom": -1.789,
  "space_group": "No. 166"
}

=====

{
  "formula": "Pm2Sm7Th2",
  "functional": "PBE",
  "state": "optimized geometry",
  "cell": [[8.635, -1.512, 0.074], [-1.731, 5.612, 1.539], [-0.937, 1.512, 8.584]],
  "species": ["Pm", "Pm", "Sm", "Sm", "Sm", "Sm", "Sm", "Sm", "Sm", "Th", "Th"],
  "fractional_positions": [[0.773, 0.143, 0.227], [0.227, 0.857, 0.773], [0.948, 0.186, 0.592], [0.000, 0.000, 0.000], [0.578, 0.357, 0.422], [0.408, 0.186, 0.052], [0.052, 0.814, 0.408], [0.592, 0.814, 0.948], [0.422, 0.643, 0.578], [0.784, 0.500, 0.784], [0.216, 0.500, 0.216]],
  "ef_ev_per_atom": 0.183,
  "relative_energy_ev_per_atom": 0.004,
  "total_energy_ev_per_atom": -5.033,
  "space_group": "No. 12"
}

=====

{
  "formula": "Sm5AlHg4",
  "functional": "PBE",
  "state": "optimized geometry",
  "cell": [[-1.794, 2.304, -2.362], [1.759, -1.607, -2.903], [-14.161, -12.649, -1.581]],
  "species": ["Hg", "Hg", "Hg", "Hg", "Sm", "Sm", "Sm", "Sm", "Sm", "Al"],
  "fractional_positions": [[0.000, 0.000, 0.805], [0.000, 0.000, 0.399], [0.000, 0.000, 0.601], [0.000, 0.000, 0.195], [0.500, 0.500, 0.702], [0.500, 0.500, 0.500], [0.500, 0.500, 0.094], [0.500, 0.500, 0.298], [0.500, 0.500, 0.906], [0.000, 0.000, 0.000]],
  "ef_ev_per_atom": -0.448,
  "total_energy_ev_per_atom": -3.302,
  "space_group": "No. 123"
}

=====

Number 1: calculated volume 83.9 Å³/cell. Number 2: calculated volume 118.5 Å³/cell. Number 3: calculated volume 149.4 Å³/cell. Number 4: calculated volume 392.1 Å³/cell. Number 5: calculated volume 230.7 Å³/cell. Number 6: calculated volume 110.3 Å³/cell. Number 7: calculated volume 204.1 Å³/cell. Number 8: calculated volume 142.3 Å³/cell. Number 9: calculated volume 277.2 Å³/cell. Number 10: calculated volume 159.8 Å³/cell. Number 11: calculated volume 201.9 Å³/cell. Number 12: calculated volume 113.9 Å³/cell. Number 13: calculated volume 780.3 Å³/cell. Number 14: calculated volume 751.3 Å³/cell. Number 15: calculated volume 282.2 Å³/cell. Number 16: calculated volume 336.5 Å³/cell. Number 17: calculated volume 212.2 Å³/cell. Number 18: calculated volume 546.3 Å³/cell. Number 19: calculated volume 85.2 Å³/cell. Number 20: calculated volume 185.2 Å³/cell. Number 21: calculated volume 375.8 Å³/cell. Number 22: calculated volume 268.7 Å³/cell.